(P)
Material: Cr3WC
Method: DFT, PBE-GGA
State: optimized geometry

Results
Crystal system: cubic
DOS(E_F), states/eV per atom: 1.357
Symmetry: Pm-3m (221)

Cell lengths 3.868, 3.868, 3.868 Å; angles 90.00, 90.00, 90.00 degrees
Positions (direct):
Cr  0.000  0.000  0.500
Cr  0.000  0.500  0.000
Cr  0.500  0.000  0.000
W  0.500  0.500  0.500
C  0.000  0.000  0.000

=====

(Q)
Material: Cr3WC
Method: DFT, PBE-GGA
State: optimized geometry

Results
Crystal system: cubic
DOS(E_F), states/eV per atom: 2.610
Symmetry: Pm-3m (221)

Cell lengths 4.481, 4.481, 4.481 Å; angles 90.00, 90.00, 90.00 degrees
Positions (direct):
Cr  0.000  0.000  0.500
Cr  0.000  0.500  0.000
Cr  0.500  0.000  0.000
W  0.000  0.000  0.000
C  0.500  0.500  0.500

=====

Name the most stable of them. (P).

=====

(P)
Material: Y2Cr2C
Method: DFT, PBE-GGA
State: optimized geometry

Results
Crystal system: tetragonal
DOS(E_F), states/eV per atom: 1.151
Symmetry: P4/mbm (127)

Cell lengths 5.593, 5.593, 5.132 Å; angles 90.00, 90.00, 90.00 degrees
Positions (direct):
Y  0.173  0.327  0.000
Y  0.327  0.827  0.000
Y  0.673  0.173  0.000
Y  0.827  0.673  0.000
Cr  0.167  0.667  0.500
Cr  0.333  0.167  0.500
Cr  0.667  0.833  0.500
Cr  0.833  0.333  0.500
C  0.000  0.000  0.500
C  0.500  0.500  0.500

=====

(Q)
Material: Y2Cr2C
Method: DFT, PBE-GGA
State: optimized geometry

Results
Crystal system: tetragonal
DOS(E_F), states/eV per atom: 1.481
Symmetry: I4/mmm (139)

Cell lengths 5.096, 5.096, 5.096 Å; angles 113.55, 113.55, 101.60 degrees
Positions (direct):
Y  0.250  0.750  0.500
Y  0.750  0.250  0.500
Cr  0.208  0.208  0.000
Cr  0.792  0.792  0.000
C  0.500  0.500  0.000

=====

Name the most stable of them. (P).

=====

(P)
Material: ZnCrC3
Method: DFT, PBE-GGA
State: optimized geometry

Results
Crystal system: cubic
DOS(E_F), states/eV per atom: 0.582
Symmetry: Pm-3m (221)

Cell lengths 3.834, 3.834, 3.834 Å; angles 90.00, 90.00, 90.00 degrees
Positions (direct):
Zn  0.000  0.000  0.000
Cr  0.500  0.500  0.500
C  0.000  0.500  0.500
C  0.500  0.000  0.500
C  0.500  0.500  0.000

=====

(Q)
Material: ZnCrC3
Method: DFT, PBE-GGA
State: optimized geometry

Results
Crystal system: cubic
DOS(E_F), states/eV per atom: 1.155
Symmetry: Pm-3m (221)

Cell lengths 3.828, 3.828, 3.828 Å; angles 90.00, 90.00, 90.00 degrees
Positions (direct):
Zn  0.000  0.000  0.000
Cr  0.500  0.500  0.500
C  0.000  0.000  0.500
C  0.000  0.500  0.000
C  0.500  0.000  0.000

=====

Name the most stable of them. (P).